No. 1
# Rb2SbOsF6 PBE-GGA optimized geometry
data_Rb2SbOsF6
_chemical_formula_sum 'Rb2 Sb1 Os1 F6'
_symmetry_space_group_name_H-M 'P 1'
_symmetry_Int_Tables_number 1
_cell_length_a 7.083
_cell_length_b 7.083
_cell_length_c 7.083
_cell_angle_alpha 129.00
_cell_angle_beta 129.00
_cell_angle_gamma 75.01
loop_
_symmetry_equiv_pos_as_xyz
'x,y,z'
loop_
_atom_site_label
_atom_site_type_symbol
_atom_site_fract_x
_atom_site_fract_y
_atom_site_fract_z
Rb1 Rb 0.250 0.750 0.500
Rb2 Rb 0.750 0.250 0.500
Sb1 Sb 0.000 0.000 0.000
Os1 Os 0.500 0.500 0.000
F1 F 0.261 0.261 0.521
F2 F 0.261 0.739 0.000
F3 F 0.318 0.318 0.000
F4 F 0.682 0.682 0.000
F5 F 0.739 0.261 0.000
F6 F 0.739 0.739 0.479
# Formation energy without anion corrections ... -17.4 eV/f.u.
# DOS(E_F) ... 0.085 states/eV per atom
# Density ... 4.74 g cm⁻³
# Space-group type ... I4/mmm (139)
# Magnetization ... 1.00 μB/f.u.

No. 2
# Hf3TiAg PBE-GGA optimized geometry
data_Hf3TiAg
_chemical_formula_sum 'Hf3 Ti1 Ag1'
_symmetry_space_group_name_H-M 'P 1'
_symmetry_Int_Tables_number 1
_cell_length_a 5.071
_cell_length_b 5.071
_cell_length_c 5.071
_cell_angle_alpha 90.00
_cell_angle_beta 90.00
_cell_angle_gamma 90.00
loop_
_symmetry_equiv_pos_as_xyz
'x,y,z'
loop_
_atom_site_label
_atom_site_type_symbol
_atom_site_fract_x
_atom_site_fract_y
_atom_site_fract_z
Hf1 Hf 0.000 0.000 0.500
Hf2 Hf 0.000 0.500 0.000
Hf3 Hf 0.500 0.000 0.000
Ti1 Ti 0.500 0.500 0.500
Ag1 Ag 0.000 0.000 0.000
# DOS(E_F) ... 1.117 states/eV per atom
# Uncorrected energy ... -6.945 eV/atom
# Density ... 8.80 g cm⁻³
# Space-group type ... Pm-3m (221)
# Magnetization ... 3.18 μB/f.u.